Compound: Sm2Te3Au
Source: OQMD
Functional: GGA-PBE
Structure: optimized geometry

Summary:
Size of the total moment in Bohr magnetons per cell: 0.0
Calculated total energy in eV for the cell shown: -114.216
V in Å³/cell: 690.22

```
data_Sm2Te3Au
_cell_length_a 11.0254
_cell_length_b 4.1779
_cell_length_c 14.9843
_cell_angle_alpha 90.00
_cell_angle_beta 90.00
_cell_angle_gamma 90.00
_space_group_name_H-M_alt 'P n m a'
_space_group_IT_number 62
_space_group_name_Hall '-P 2ac 2n'
loop_
_atom_site_label
_atom_site_fract_x
_atom_site_fract_y
_atom_site_fract_z
Sm1 0.0149 0.2500 0.2496
Sm2 0.2372 0.7500 0.5267
Te1 0.0426 0.2500 0.5981
Te2 0.0661 0.7500 0.0948
Te3 0.2354 0.7500 0.8596
Au1 0.2433 0.2500 0.7210
```